(1)
DFT (GGA-PBE) results for CeBeP after structural relaxation.

Calculated values
Electronic total energy in eV/atom: -5.993
Total moment in Bohr magnetons per cell: 1.4
DFT formation energy in meV per atom: -969
Energy above the lowest structure with this stoichiometry in meV per atom: 0

Unit cell a=3.7128 b=3.7128 c=8.5080 alpha=90.00 beta=90.00 gamma=120.00
Space group P6_3/mmc (No. 194)
Asymmetric unit:
Ce1 0.0000 0.0000 0.0000 (multiplicity 2)
Be1 0.3333 0.6667 0.2500 (multiplicity 2)
P1 0.3333 0.6667 0.7500 (multiplicity 2)


(2)
DFT (GGA-PBE) results for ErAgGe2 after structural relaxation.

Calculated values
Electronic total energy in eV/atom: -4.553
Total moment in Bohr magnetons per cell: 0.0
DFT formation energy in meV per atom: -391

Unit cell a=4.386 b=4.386 c=4.106 alpha=90.00 beta=90.00 gamma=90.00
Space group P4/mmm (No. 123)
Asymmetric unit:
Er1 0.000 0.000 0.000 (multiplicity 1)
Ag1 0.500 0.500 0.000 (multiplicity 1)
Ge1 0.000 0.500 0.500 (multiplicity 2)


(3)
DFT (GGA-PBE) results for KLiMnBr6 after structural relaxation.

Calculated values
Electronic total energy in eV/atom: -3.481
Total moment in Bohr magnetons per cell: 3.0
Formation energy (no corrections) in eV per atom: -1.0125

Unit cell a=6.7958 b=6.7958 c=7.2885 alpha=90.00 beta=90.00 gamma=120.00
Space group P312 (No. 149)
Asymmetric unit:
K1 0.0000 0.0000 0.0000 (multiplicity 1)
Li1 0.3333 0.6667 0.5000 (multiplicity 1)
Mn1 0.6667 0.3333 0.5000 (multiplicity 1)
Br1 0.3838 0.0268 0.6969 (multiplicity 6)


Repeat the third record exactly.
DFT (GGA-PBE) results for KLiMnBr6 after structural relaxation.

Calculated values
Electronic total energy in eV/atom: -3.481
Total moment in Bohr magnetons per cell: 3.0
Formation energy (no corrections) in eV per atom: -1.0125

Unit cell a=6.7958 b=6.7958 c=7.2885 alpha=90.00 beta=90.00 gamma=120.00
Space group P312 (No. 149)
Asymmetric unit:
K1 0.0000 0.0000 0.0000 (multiplicity 1)
Li1 0.3333 0.6667 0.5000 (multiplicity 1)
Mn1 0.6667 0.3333 0.5000 (multiplicity 1)
Br1 0.3838 0.0268 0.6969 (multiplicity 6)


Copy entry 3 word for word.
DFT (GGA-PBE) results for KLiMnBr6 after structural relaxation.

Calculated values
Electronic total energy in eV/atom: -3.481
Total moment in Bohr magnetons per cell: 3.0
Formation energy (no corrections) in eV per atom: -1.0125

Unit cell a=6.7958 b=6.7958 c=7.2885 alpha=90.00 beta=90.00 gamma=120.00
Space group P312 (No. 149)
Asymmetric unit:
K1 0.0000 0.0000 0.0000 (multiplicity 1)
Li1 0.3333 0.6667 0.5000 (multiplicity 1)
Mn1 0.6667 0.3333 0.5000 (multiplicity 1)
Br1 0.3838 0.0268 0.6969 (multiplicity 6)


> What is the electronic total energy in the third record?

-3.481 eV/atom